Entry 1:
DFT (PBE-GGA) results for a relaxed structure of Cs2MnOsCl6.

Cell and atoms, written as POSCAR:
```
Cs2MnOsCl6
1.0
-4.008 -4.600 -3.651
2.838 -5.387 3.671
-4.223 -4.560 3.458
Cs Mn Cl Os
2 1 6 1
Cartesian
-0.985 -7.470 3.570
-4.408 -7.077 -0.091
-0.585 -4.993 0.010
-2.943 -9.776 1.701
-0.285 -2.436 0.005
-2.450 -4.772 1.778
-2.338 -4.792 -1.865
1.168 -5.195 1.885
-0.884 -7.551 0.015
0.000 0.000 0.000
```

Computed properties:
Space group: Fm-3m
Total magnetic moment (μB per formula unit): 5.0
Energy relative to the elements, uncorrected (eV per atom): -1.00
E (eV/atom): -4.3220
N(E_F) (states/eV/f.u.): 0.00

=====

Entry 2:
DFT (PBE-GGA) results for a relaxed structure of NdThAu2.

Cell and atoms, written as POSCAR:
```
NdThAu2
1.0
4.067 0.000 0.000
2.034 3.522 0.000
2.034 1.174 7.976
Nd Th Au
1 1 2
Cartesian
4.067 2.348 3.988
0.000 0.000 0.000
2.034 1.174 1.939
6.101 3.522 6.037
```

Computed properties:
Space group: R-3m
Total magnetic moment (μB per formula unit): 0.0
E (eV/atom): -5.2389
N(E_F) (states/eV/f.u.): 4.91
Energy relative to the elements (eV/atom): -0.55